Record 1
A relaxed structure of Sm2Cu, computed with PBE.

Output
The calculation puts the formation energy from the elements at 0.020 eV/atom. The calculation puts the total magnetization at 0.012 μB per atom. For the volume, the calculation gives 157 Å³ per cell. As for the space-group type: Imma.

Cell: 7.4690 7.4690 7.4690 Å, 151.92 126.17 61.81°
Element x y z (fractional)
Sm 0.6305 0.6318 0.9987
Sm 0.3695 0.3682 0.0013
Cu 0.2472 0.9972 0.2500
Sm 0.8669 0.3682 0.4987
Sm 0.1331 0.6318 0.5013
Cu 0.7528 0.0028 0.7500

Record 2
A relaxed structure of SmCu, computed with PBE.

Output
The calculation puts the formation energy from the elements at 0.086 eV/atom. The calculation puts the total magnetization at 0.000 μB per atom. For the volume, the calculation gives 45 Å³ per cell. As for the space-group type: P-6m2.

Cell: 3.4963 3.4963 4.2868 Å, 90.00 90.00 120.00°
Element x y z (fractional)
Cu 0.6667 0.3333 0.7500
Sm 0.3333 0.6667 0.2500

Record 3
A relaxed structure of SmCu, computed with PBE.

Output
The calculation puts the formation energy from the elements at 0.508 eV/atom. The calculation puts the total magnetization at 0.000 μB per atom. For the volume, the calculation gives 62 Å³ per cell. As for the space-group type: F-43m.

Cell: 4.4477 4.4477 4.4477 Å, 60.00 60.00 60.00°
Element x y z (fractional)
Sm 0.2500 0.2500 0.2500
Cu 0.0000 0.0000 0.0000

Record 4
A relaxed structure of Sm2Cu, computed with PBE.

Output
The calculation puts the formation energy from the elements at 1.352 eV/atom. The calculation puts the total magnetization at 0.002 μB per atom. For the volume, the calculation gives 440 Å³ per cell. As for the space-group type: Fd-3m.

Cell: 8.5345 8.5345 8.5345 Å, 60.00 60.00 60.00°
Element x y z (fractional)
Sm 0.3750 0.3750 0.3750
Sm 0.3750 0.8750 0.3750
Sm 0.8750 0.3750 0.3750
Cu 0.2500 0.2500 0.2500
Cu 0.5000 0.5000 0.5000
Sm 0.3750 0.3750 0.8750

Record 5
A relaxed structure of Sm2Cu, computed with PBE.

Output
The calculation puts the formation energy from the elements at 0.745 eV/atom. The calculation puts the total magnetization at 0.000 μB per atom. For the volume, the calculation gives 169 Å³ per cell. As for the space-group type: Fd-3m.

Cell: 6.2001 6.2001 6.2001 Å, 60.00 60.00 60.00°
Element x y z (fractional)
Sm 0.6250 0.6250 0.6250
Sm 0.1250 0.6250 0.6250
Cu 0.2500 0.2500 0.2500
Sm 0.6250 0.6250 0.1250
Cu 0.0000 0.0000 0.0000
Sm 0.6250 0.1250 0.6250

Record 6
A relaxed structure of Sm5Cu2, computed with PBE.

Output
The calculation puts the formation energy from the elements at -0.078 eV/atom. The calculation puts the total magnetization at 0.001 μB per atom. For the volume, the calculation gives 383 Å³ per cell. As for the space-group type: C2/c.

Cell: 9.0271 9.0271 6.9336 Å, 95.26 95.26 43.00°
Element x y z (fractional)
Cu 0.5887 0.1914 0.4365
Sm 0.7965 0.0147 0.0589
Sm 0.9853 0.2035 0.4411
Sm 0.2035 0.9853 0.9411
Sm 0.7870 0.6525 0.7948
Cu 0.8086 0.4113 0.0635
Sm 0.4380 0.5620 0.2500
Cu 0.1914 0.5887 0.9365
Sm 0.6525 0.7870 0.2948
Sm 0.3475 0.2130 0.7052
Cu 0.4113 0.8086 0.5635
Sm 0.5620 0.4380 0.7500
Sm 0.2130 0.3475 0.2052
Sm 0.0147 0.7965 0.5589

Record 7
A relaxed structure of SmCu, computed with PBE.

Output
The calculation puts the formation energy from the elements at -0.182 eV/atom. The calculation puts the total magnetization at 0.004 μB per atom. For the volume, the calculation gives 45 Å³ per cell. As for the space-group type: Pm-3m.

Cell: 3.5582 3.5582 3.5582 Å, 90.00 90.00 90.00°
Element x y z (fractional)
Sm 0.5000 0.5000 0.5000
Cu 0.0000 0.0000 0.0000

Record 8
A relaxed structure of Sm3Cu4Sn4, computed with PBE.

Output
The calculation puts the total magnetization at 0.000 μB per atom. For the volume, the calculation gives 237 Å³ per cell. As for the space-group type: Immm. The calculation puts the final energy at -4.629 eV/atom.

Cell: 8.5511 8.5511 8.5511 Å, 149.26 131.75 58.31°
Element x y z (fractional)
Sn 0.2016 0.5000 0.7016
Cu 0.8534 0.6687 0.1846
Sn 0.7167 0.2167 0.5000
Sn 0.7984 0.5000 0.2984
Sn 0.2833 0.7833 0.5000
Cu 0.4841 0.6687 0.8154
Cu 0.1466 0.3313 0.8154
Sm 0.1321 0.1321 0.0000
Sm 0.8679 0.8679 0.0000
Sm 0.5000 0.0000 0.5000
Cu 0.5159 0.3313 0.1846

Record 9
A relaxed structure of Tb2SmCu4Sn4, computed with PBE.

Output
The calculation puts the total magnetization at 0.001 μB per atom. For the volume, the calculation gives 232 Å³ per cell. As for the space-group type: Immm. The calculation puts the final energy at -4.603 eV/atom.

Cell: 8.4829 8.4829 8.4829 Å, 149.31 131.40 58.58°
Element x y z (fractional)
Sn 0.2988 0.5000 0.7988
Tb 0.3686 0.8686 0.5000
Tb 0.6314 0.1314 0.5000
Sn 0.7835 0.7835 0.0000
Cu 0.0174 0.3298 0.6876
Sm 0.0000 0.0000 0.0000
Cu 0.9826 0.6702 0.3124
Sn 0.7012 0.5000 0.2012
Cu 0.3578 0.6702 0.6876
Cu 0.6422 0.3298 0.3124
Sn 0.2165 0.2165 0.0000

Record 10
A relaxed structure of TbSm2Cu4Sn4, computed with PBE.

Output
The calculation puts the total magnetization at 0.002 μB per atom. For the volume, the calculation gives 233 Å³ per cell. As for the space-group type: Immm. The calculation puts the final energy at -4.619 eV/atom.

Cell: 8.5095 8.5095 8.5095 Å, 149.17 131.91 58.21°
Element x y z (fractional)
Tb 0.0000 0.0000 0.0000
Sn 0.7847 0.7847 0.0000
Sn 0.2955 0.5000 0.7955
Sn 0.7045 0.5000 0.2045
Cu 0.0167 0.3301 0.6867
Cu 0.3566 0.6699 0.6867
Sm 0.3684 0.8684 0.5000
Cu 0.9833 0.6699 0.3133
Sm 0.6316 0.1316 0.5000
Cu 0.6434 0.3301 0.3133
Sn 0.2153 0.2153 0.0000

Record 11
A relaxed structure of SmCuSnTe3, computed with PBE.

Output
The calculation puts the total magnetization at 0.000 μB per atom. For the volume, the calculation gives 707 Å³ per cell. The calculation puts the energy relative to the lowest polymorph listed for this composition at 0 meV/atom. As for the space-group type: Pnma.

Cell: 11.3664 4.2892 14.4936 Å, 90.00 90.00 90.00°
Element x y z (fractional)
Te 0.5940 0.7500 0.0961
Te 0.2353 0.7500 0.6639
Te 0.5495 0.2500 0.6086
Sm 0.0208 0.2500 0.2595
Te 0.4060 0.2500 0.9039
Cu 0.7387 0.2500 0.7218
Cu 0.2613 0.7500 0.2782
Te 0.0495 0.2500 0.8914
Te 0.9060 0.2500 0.5961
Sn 0.2846 0.2500 0.4922
Sm 0.5208 0.2500 0.2405
Sn 0.2154 0.7500 0.9922
Te 0.4505 0.7500 0.3914
Sm 0.4792 0.7500 0.7595
Te 0.0940 0.7500 0.4039
Te 0.7647 0.2500 0.3361
Sn 0.7154 0.7500 0.5078
Te 0.2647 0.2500 0.1639
Te 0.9505 0.7500 0.1086
Cu 0.2387 0.2500 0.7782
Te 0.7353 0.7500 0.8361
Sn 0.7846 0.2500 0.0078
Sm 0.9792 0.7500 0.7405
Cu 0.7613 0.7500 0.2218

Record 12
A relaxed structure of SmCuSnTe3, computed with PBE.

Output
The calculation puts the total magnetization at 0.000 μB per atom. For the volume, the calculation gives 364 Å³ per cell. The calculation puts the energy relative to the lowest polymorph listed for this composition at 61 meV/atom. As for the space-group type: C2/m.

Cell: 10.2526 10.2526 8.6456 Å, 102.48 102.48 24.27°
Element x y z (fractional)
Te 0.3238 0.3238 0.1548
Sn 0.1186 0.1186 0.0651
Sm 0.1594 0.1594 0.5831
Te 0.5000 0.5000 0.0000
Cu 0.4536 0.4536 0.2928
Te 0.3227 0.3227 0.6638
Sm 0.8406 0.8406 0.4169
Sn 0.8814 0.8814 0.9349
Te 0.6762 0.6762 0.8452
Cu 0.5464 0.5464 0.7072
Te 0.6773 0.6773 0.3362
Te 0.0000 0.0000 0.5000

Record 13
A relaxed structure of SmCuSnTe3, computed with PBE.

Output
The calculation puts the total magnetization at 0.000 μB per atom. For the volume, the calculation gives 737 Å³ per cell. The calculation puts the energy relative to the lowest polymorph listed for this composition at 13 meV/atom. As for the space-group type: Pnma.

Cell: 14.5620 4.2865 11.8044 Å, 90.00 90.00 90.00°
Element x y z (fractional)
Te 0.3920 0.2500 0.1081
Sm 0.9922 0.7500 0.8256
Sm 0.4922 0.7500 0.6744
Sn 0.2891 0.7500 0.9493
Te 0.3822 0.7500 0.4425
Te 0.1080 0.7500 0.6081
Cu 0.4928 0.2500 0.9180
Sn 0.7891 0.7500 0.5507
Te 0.8822 0.7500 0.0575
Sm 0.0078 0.2500 0.1744
Te 0.1178 0.2500 0.9425
Sm 0.5078 0.2500 0.3256
Sn 0.7109 0.2500 0.0507
Cu 0.0072 0.7500 0.4180
Te 0.1447 0.7500 0.2641
Te 0.6178 0.2500 0.5575
Te 0.6080 0.7500 0.8919
Te 0.8553 0.2500 0.7359
Sn 0.2109 0.2500 0.4493
Cu 0.5072 0.7500 0.0820
Te 0.8920 0.2500 0.3919
Te 0.3553 0.2500 0.7641
Te 0.6447 0.7500 0.2359
Cu 0.9928 0.2500 0.5820

Record 14
A relaxed structure of SmCuSnTe3, computed with PBE.

Output
The calculation puts the total magnetization at 0.000 μB per atom. For the volume, the calculation gives 680 Å³ per cell. The calculation puts the energy relative to the lowest polymorph listed for this composition at 15 meV/atom. As for the space-group type: Pnma.

Cell: 12.4059 4.4017 12.4483 Å, 90.00 90.00 90.00°
Element x y z (fractional)
Te 0.8970 0.5000 0.5610
Sm 0.0332 0.0000 0.6911
Sm 0.4668 0.5000 0.1911
Te 0.2880 0.0000 0.6879
Sm 0.5332 0.0000 0.8089
Sn 0.7020 0.0000 0.5288
Sn 0.7980 0.5000 0.0288
Te 0.1030 0.0000 0.4390
Te 0.9627 0.0000 0.1274
Sn 0.2020 0.0000 0.9712
Te 0.6030 0.0000 0.0610
Sm 0.9668 0.5000 0.3089
Te 0.4627 0.0000 0.3726
Cu 0.2667 0.0000 0.2955
Te 0.3970 0.5000 0.9390
Te 0.7120 0.5000 0.3121
Te 0.2120 0.5000 0.1879
Te 0.5373 0.5000 0.6274
Te 0.0373 0.5000 0.8726
Te 0.7880 0.0000 0.8121
Cu 0.7667 0.0000 0.2045
Cu 0.7333 0.5000 0.7045
Cu 0.2333 0.5000 0.7955
Sn 0.2980 0.5000 0.4712

Record 15
A relaxed structure of SmCuSnTe3, computed with PBE.

Output
The calculation puts the total magnetization at 0.000 μB per atom. For the volume, the calculation gives 373 Å³ per cell. The calculation puts the energy relative to the lowest polymorph listed for this composition at 16 meV/atom. As for the space-group type: P2_1/m.

Cell: 8.6531 4.2888 10.3396 Å, 90.00 103.86 90.00°
Element x y z (fractional)
Sn 0.2884 0.7500 0.7086
Te 0.0828 0.2500 0.8480
Cu 0.4278 0.7500 0.4175
Te 0.5561 0.2500 0.8391
Te 0.7443 0.7500 0.5263
Te 0.2557 0.2500 0.4737
Te 0.4439 0.7500 0.1609
Te 0.9172 0.7500 0.1520
Cu 0.5722 0.2500 0.5825
Sm 0.1848 0.2500 0.1655
Sm 0.8152 0.7500 0.8345
Sn 0.7116 0.2500 0.2914

Record 16
A relaxed structure of SmCuSnTe3, computed with PBE.

Output
The calculation puts the total magnetization at 0.000 μB per atom. For the volume, the calculation gives 694 Å³ per cell. The calculation puts the energy relative to the lowest polymorph listed for this composition at 25 meV/atom. As for the space-group type: Pnma.

Cell: 8.9398 4.4672 17.3810 Å, 90.00 90.00 90.00°
Element x y z (fractional)
Sm 0.7516 0.2500 0.9623
Sm 0.2484 0.7500 0.0377
Sm 0.2516 0.2500 0.5377
Cu 0.1242 0.7500 0.3733
Te 0.0180 0.7500 0.5982
Te 0.6126 0.2500 0.5655
Te 0.8874 0.7500 0.0655
Te 0.4820 0.2500 0.0982
Te 0.3874 0.7500 0.4345
Sn 0.9180 0.2500 0.2257
Te 0.8083 0.2500 0.7788
Te 0.3083 0.2500 0.7212
Sn 0.4180 0.2500 0.2743
Te 0.1917 0.7500 0.2212
Cu 0.3758 0.2500 0.8733
Te 0.6917 0.7500 0.2788
Sm 0.7484 0.7500 0.4623
Te 0.9820 0.2500 0.4018
Te 0.1126 0.2500 0.9345
Sn 0.5820 0.7500 0.7257
Cu 0.8758 0.2500 0.6267
Te 0.5180 0.7500 0.9018
Sn 0.0820 0.7500 0.7743
Cu 0.6242 0.7500 0.1267

Record 17
A relaxed structure of SmCuSnTe3, computed with PBE.

Output
The calculation puts the total magnetization at 0.000 μB per atom. For the volume, the calculation gives 354 Å³ per cell. The calculation puts the energy relative to the lowest polymorph listed for this composition at 3 meV/atom. As for the space-group type: Cmcm.

Cell: 7.5799 7.5799 11.3695 Å, 90.00 90.00 32.82°
Element x y z (fractional)
Sm 0.0000 0.0000 0.5000
Te 0.6471 0.6471 0.5710
Sn 0.2348 0.2348 0.7500
Te 0.3529 0.3529 0.4290
Te 0.0861 0.0861 0.2500
Cu 0.4714 0.4714 0.2500
Sn 0.7652 0.7652 0.2500
Sm 0.0000 0.0000 0.0000
Te 0.9139 0.9139 0.7500
Cu 0.5286 0.5286 0.7500
Te 0.6471 0.6471 0.9290
Te 0.3529 0.3529 0.0710

Record 18
A relaxed structure of SmTm2Cu4Sn4, computed with PBE.

Output
The calculation puts the total magnetization at 0.000 μB per atom. For the volume, the calculation gives 227 Å³ per cell. As for the space-group type: Immm. The calculation puts the final energy at -4.541 eV/atom.

Cell: 8.4157 8.4157 8.4157 Å, 149.52 130.73 59.05°
Element x y z (fractional)
Sm 0.0000 0.0000 0.0000
Tm 0.6306 0.1306 0.5000
Sn 0.3008 0.5000 0.8008
Sn 0.6992 0.5000 0.1992
Cu 0.3589 0.6706 0.6884
Sn 0.2182 0.2182 0.0000
Cu 0.0178 0.3294 0.6884
Sn 0.7818 0.7818 0.0000
Tm 0.3694 0.8694 0.5000
Cu 0.6411 0.3294 0.3116
Cu 0.9822 0.6706 0.3116

Record 19
A relaxed structure of Sm2YCu4Sn4, computed with PBE.

Output
The calculation puts the total magnetization at 0.000 μB per atom. For the volume, the calculation gives 234 Å³ per cell. As for the space-group type: Immm. The calculation puts the final energy at -4.789 eV/atom.

Cell: 8.5177 8.5177 8.5177 Å, 149.17 131.96 58.17°
Element x y z (fractional)
Y 0.0000 0.0000 0.0000
Sm 0.3681 0.8681 0.5000
Sn 0.7843 0.7843 0.0000
Cu 0.6455 0.3310 0.3145
Cu 0.0165 0.3310 0.6855
Cu 0.3545 0.6690 0.6855
Cu 0.9835 0.6690 0.3145
Sm 0.6319 0.1319 0.5000
Sn 0.2157 0.2157 0.0000
Sn 0.2956 0.5000 0.7956
Sn 0.7044 0.5000 0.2044

Record 20
A relaxed structure of SmYCu2Sn, computed with PBE.

Output
The calculation puts the total magnetization at 0.004 μB per atom. For the volume, the calculation gives 110 Å³ per cell. As for the space-group type: Amm2. The calculation puts the final energy at -4.988 eV/atom.

Cell: 3.6781 7.2736 7.2736 Å, 34.26 90.00 90.00°
Element x y z (fractional)
Cu 0.5000 0.7966 0.7966
Sn 0.5000 0.0023 0.0023
Sm 0.0000 0.3703 0.3703
Cu 0.5000 0.2008 0.2008
Y 0.0000 0.6300 0.6300